A plane-wave DFT calculation with GGA-PBE was carried out for a relaxed InSe3Cl crystal.

Cell lengths 5.305, 5.305, 5.305 Å; angles 90.00, 90.00, 90.00 degrees
Space group Pm-3m (No. 221)
One atom of each set of equivalent atoms:
In (0.000, 0.000, 0.000) x1
Se (0.000, 0.000, 0.500) x3
Cl (0.500, 0.500, 0.500) x1

Computed properties:
Magnetic moment in Bohr magnetons per cell: 0.00
DOS(E_F) in states/eV per cell: 9.41
Raw formation energy in eV per atom: 0.55
Electronic total energy in eV/atom: -2.461

A plane-wave DFT calculation with GGA-PBE was carried out for a relaxed Ac6Sn3Pd crystal.

Cell lengths 14.5742, 14.5742, 13.3828 Å; angles 90.00, 90.00, 120.00 degrees
Space group R-3 (No. 148, hexagonal axes)
One atom of each set of equivalent atoms:
Ac (0.0336, 0.8302, 0.3923) x18
Ac (0.0576, 0.8573, 0.8819) x18
Sn (0.0503, 0.7680, 0.6452) x18
Pd (0.0000, 0.0000, 0.0000) x3
Pd (0.0000, 0.0000, 0.5000) x3

Computed properties:
Magnetic moment in Bohr magnetons per cell: 0.01
ΔH_f (0 K) in eV/atom: -0.48
DOS(E_F) in states/eV per cell: 71.17
Electronic total energy in eV/atom: -4.661